HoAgW2O8 after structural relaxation, computed with GGA+U.

The density of states at the Fermi level comes out at 0.000 states/eV per cell. As for the uncorrected energy: -7.26 eV per atom.

Unit cell a=10.0343 b=10.8626 c=7.2927 alpha=90.00 beta=127.06 gamma=90.00
Closest atoms and distances in Å follow each position.
Space group C2/m (No. 12)
Unique sites:
Ho1 0.0000 0.1991 0.0000  8 O 2.32-2.58
Ag1 0.1840 0.0000 0.5177  2 O 2.32-2.47
W1 0.0000 0.3363 0.5000  4 O 1.81-1.95
W2 0.2122 0.5000 0.9719  3 O 1.82-1.88
O1 0.0217 0.5000 0.3410  3 W 2.06-2.20
O2 0.0480 0.2354 0.3492  1 W 1.81
O3 0.0539 0.0000 0.8609  1 W 1.88
O4 0.1705 0.3701 0.0891  1 W 1.82
O5 0.2288 0.3743 0.7597  2 W 1.95-2.14